Entry from the Alexandria database: Ti7As2P2 after structural relaxation (GGA-PBE).

Summary:
calculated density = 5.2 Mg/m³
uncorrected energy = -86.2 eV per formula unit
crystal system = orthorhombic
energy of formation from the pure elements = -981 meV/atom
space group = Imm2 (44)

abc: 3.4536 7.7365 7.7365
angles: 60.15 77.10 77.10
Positions (direct):
Ti 0.8200 0.0690 0.2910
Ti 0.8497 0.4312 0.8693
Ti 0.5000 0.0136 0.9864
Ti 0.6206 0.4893 0.2695
Ti 0.3794 0.7305 0.5107
Ti 0.1800 0.7090 0.9310
Ti 0.1503 0.1307 0.5688
As 0.0000 0.7598 0.2402
As 0.5000 0.3464 0.6536
P 0.7393 0.8479 0.6735
P 0.2607 0.3265 0.1521



Entry from the Alexandria database: BeHgPt3 after structural relaxation (GGA-PBE).

Summary:
calculated density = 16.7 Mg/m³
uncorrected energy = -23.0 eV per formula unit
crystal system = monoclinic
energy of formation from the pure elements = -167 meV/atom
space group = P2_1/m (11)

abc: 5.5117 7.2811 5.5206
angles: 90.00 134.49 90.00
Positions (direct):
Be 0.0130 0.2500 0.9851
Be 0.9870 0.7500 0.0149
Hg 0.3603 0.2500 0.6368
Hg 0.6397 0.7500 0.3632
Pt 0.1423 0.9951 0.8605
Pt 0.8577 0.0049 0.1395
Pt 0.1423 0.5049 0.8605
Pt 0.8577 0.4951 0.1395
Pt 0.6405 0.2500 0.3611
Pt 0.3595 0.7500 0.6389



Entry from the Alexandria database: KPmMg2 after structural relaxation (GGA-PBE).

Summary:
calculated density = 2.8 Mg/m³
uncorrected energy = -8.6 eV per formula unit
crystal system = tetragonal
energy of formation from the pure elements = 110 meV/atom
space group = P4/mmm (123)

abc: 3.9835 3.9835 8.7873
angles: 90.00 90.00 90.00
Positions (direct):
K 0.5000 0.5000 0.5000
Mg 0.0000 0.0000 0.7994
Mg 0.0000 0.0000 0.2006
Pm 0.5000 0.5000 0.0000



Entry from the Alexandria database: Al2SiSe after structural relaxation (GGA-PBE).

Summary:
calculated density = 3.6 Mg/m³
uncorrected energy = -15.6 eV per formula unit
crystal system = tetragonal
space group = I-4m2 (119)

abc: 5.8511 5.8511 5.8511
angles: 142.50 142.50 54.07
Positions (direct):
Si 0.7500 0.2500 0.5000
Al 0.0000 0.0000 0.0000
Al 0.2500 0.7500 0.5000
Se 0.5000 0.5000 0.0000



Entry from the Alexandria database: La2W after structural relaxation (GGA-PBE).

Summary:
calculated density = 9.3 Mg/m³
uncorrected energy = -20.8 eV per formula unit
crystal system = hexagonal
energy of formation from the pure elements = 665 meV/atom
space group = P6_3/mmc (194)

abc: 4.9046 4.9046 7.9025
angles: 90.00 90.00 120.00
Positions (direct):
La 0.0000 0.0000 0.0000
La 0.0000 0.0000 0.5000
La 0.3333 0.6667 0.2500
La 0.6667 0.3333 0.7500
W 0.3333 0.6667 0.7500
W 0.6667 0.3333 0.2500



Entry from the Alexandria database: NaInSnPb after structural relaxation (GGA-PBE).

Summary:
calculated density = 7.0 Mg/m³
uncorrected energy = -12.2 eV per formula unit
crystal system = orthorhombic
energy of formation from the pure elements = -103 meV/atom
space group = Pmmm (47)

abc: 4.7580 4.6809 4.9086
angles: 90.00 90.00 90.00
Positions (direct):
Na 0.0000 0.5000 0.5000
In 0.5000 0.5000 0.0000
Sn 0.0000 0.0000 0.0000
Pb 0.5000 0.0000 0.5000



Entry from the Alexandria database: Er6Pd2C after structural relaxation (GGA-PBE).

Summary:
calculated density = 9.4 Mg/m³
uncorrected energy = -51.8 eV per formula unit
crystal system = monoclinic
energy of formation from the pure elements = -537 meV/atom
space group = P2_1/c (14)

abc: 6.5373 6.9857 9.4594
angles: 90.00 89.04 90.00
Positions (direct):
Er 0.1075 0.0301 0.2569
Er 0.1799 0.2985 0.5548
Er 0.1953 0.3173 0.9459
Er 0.3047 0.8173 0.5541
Er 0.3201 0.7985 0.9452
Er 0.3925 0.5301 0.2431
Er 0.8925 0.9699 0.7431
Er 0.8201 0.7015 0.4452
Er 0.8047 0.6827 0.0541
Er 0.6953 0.1827 0.4459
Er 0.6799 0.2015 0.0548
Er 0.6075 0.4699 0.7569
Pd 0.0326 0.5815 0.7515
Pd 0.4674 0.0815 0.7485
Pd 0.5326 0.9185 0.2515
Pd 0.9674 0.4185 0.2485
C 0.5000 0.5000 0.0000
C 0.0000 0.0000 0.5000



Entry from the Alexandria database: Ac12Si6N after structural relaxation (GGA-PBE).

Summary:
calculated density = 7.2 Mg/m³
uncorrected energy = -97.4 eV per formula unit
crystal system = trigonal
space group = R-3 (148)

abc: 8.8714 8.8714 8.8714
angles: 98.81 98.81 98.81
Positions (direct):
Ac 0.8157 0.5734 0.4335
Ac 0.4335 0.8157 0.5734
Ac 0.5734 0.4335 0.8157
Ac 0.1843 0.4266 0.5665
Ac 0.5665 0.1843 0.4266
Ac 0.4266 0.5665 0.1843
Ac 0.0691 0.9754 0.3081
Ac 0.0246 0.6919 0.9309
Ac 0.6919 0.9309 0.0246
Ac 0.9309 0.0246 0.6919
Ac 0.9754 0.3081 0.0691
Ac 0.3081 0.0691 0.9754
Si 0.7060 0.8762 0.3691
Si 0.6309 0.2940 0.1238
Si 0.1238 0.6309 0.2940
Si 0.2940 0.1238 0.6309
Si 0.3691 0.7060 0.8762
Si 0.8762 0.3691 0.7060
N 0.0000 0.0000 0.0000



Entry from the Alexandria database: TbY7Er3 after structural relaxation (GGA-PBE).

Summary:
calculated density = 5.9 Mg/m³
uncorrected energy = -62.0 eV per formula unit
crystal system = monoclinic
energy of formation from the pure elements = 147 meV/atom
space group = P2/m (10)

abc: 8.8632 9.9524 5.5340
angles: 89.99 128.64 105.41
Positions (direct):
Tb 0.5000 0.5000 0.5000
Y 0.9193 0.8309 0.9193
Y 0.8209 0.6391 0.3209
Y 0.6459 0.2894 0.1460
Y 0.3541 0.7106 0.8540
Y 0.5000 0.0000 0.5000
Y 0.1791 0.3609 0.6791
Y 0.0807 0.1691 0.0807
Er 0.2221 0.0016 0.7222
Er 0.0000 0.5000 0.0000
Er 0.7779 0.9984 0.2778



Entry from the Alexandria database: BaMn3Au after structural relaxation (GGA-PBE).

Summary:
calculated density = 6.2 Mg/m³
uncorrected energy = -29.9 eV per formula unit
crystal system = cubic
energy of formation from the pure elements = 555 meV/atom
space group = Pm-3m (221)

abc: 5.1161 5.1161 5.1161
angles: 90.00 90.00 90.00
Last column: magnetic moment on the atom in μB.
Positions (direct):
Mn 0.0000 0.5000 0.0000  4.11
Mn 0.0000 0.0000 0.5000  4.13
Mn 0.5000 0.0000 0.0000  3.93
Au 0.0000 0.0000 0.0000  0.14
Ba 0.5000 0.5000 0.5000  -0.10



Entry from the Alexandria database: GaSnP2S after structural relaxation (GGA-PBE).

Summary:
calculated density = 4.3 Mg/m³
uncorrected energy = -19.4 eV per formula unit
crystal system = tetragonal
space group = P4/mmm (123)

abc: 4.7147 4.7147 4.8538
angles: 90.00 90.00 90.00
Positions (direct):
P 0.0000 0.5000 0.0000
P 0.5000 0.0000 0.0000
S 0.0000 0.0000 0.5000
Sn 0.5000 0.5000 0.5000
Ga 0.0000 0.0000 0.0000



Entry from the Alexandria database: Ca3Zn2Cd2 after structural relaxation (GGA-PBE).

Summary:
calculated density = 4.4 Mg/m³
uncorrected energy = -12.3 eV per formula unit
crystal system = triclinic
energy of formation from the pure elements = -280 meV/atom
space group = P-1 (2)

abc: 5.8982 5.8952 8.4722
angles: 95.60 113.86 129.55
Positions (direct):
Ca 0.0000 0.0000 0.0000
Ca 0.3694 0.0891 0.7274
Ca 0.6306 0.9109 0.2726
Zn 0.5531 0.3421 0.4444
Zn 0.4469 0.6579 0.5556
Cd 0.9080 0.5753 0.2427
Cd 0.0920 0.4247 0.7573



Entry from the Alexandria database: FeTe2Os after structural relaxation (GGA-PBE).

Summary:
calculated density = 8.6 Mg/m³
uncorrected energy = -25.3 eV per formula unit
crystal system = monoclinic
space group = Pm (6)

abc: 3.8202 3.8210 6.6668
angles: 89.93 90.00 90.00
Last column: magnetic moment on the atom in μB.
Positions (direct):
Fe 0.0000 0.3748 0.6250  2.17
Os 0.5000 0.8752 0.6250  0.09
Te 0.0000 0.8740 0.8941  -0.03
Te 0.5000 0.3759 0.3559  -0.03



Entry from the Alexandria database: ScCu3 after structural relaxation (GGA-PBE).

Summary:
calculated density = 6.7 Mg/m³
uncorrected energy = -17.9 eV per formula unit
crystal system = hexagonal
energy of formation from the pure elements = 169 meV/atom
space group = P-6m2 (187)

abc: 2.8124 2.8124 8.5570
angles: 90.00 90.00 120.00
Positions (direct):
Cu 0.0000 0.0000 0.0191
Cu 0.0000 0.0000 0.4809
Cu 0.6667 0.3333 0.2500
Sc 0.6667 0.3333 0.7500



Entry from the Alexandria database: AlSb after structural relaxation (GGA-PBE).

Summary:
calculated density = 5.3 Mg/m³
uncorrected energy = -7.6 eV per formula unit
crystal system = tetragonal
space group = P4/nmm (129)

abc: 3.1126 3.1126 9.6613
angles: 90.00 90.00 90.00
Positions (direct):
Sb 0.2500 0.2500 0.6824
Sb 0.7500 0.7500 0.3176
Al 0.2500 0.2500 0.0927
Al 0.7500 0.7500 0.9073



Entry from the Alexandria database: Ag3Pd5Au3 after structural relaxation (GGA-PBE).

Summary:
calculated density = 10.1 Mg/m³
uncorrected energy = -39.8 eV per formula unit
crystal system = hexagonal
energy of formation from the pure elements = 418 meV/atom
space group = P-62m (189)

abc: 4.1728 8.1114 8.1114
angles: 120.00 90.00 90.00
Positions (direct):
Ag 0.0000 0.5811 0.5811
Ag 0.0000 0.4189 0.0000
Ag 0.0000 0.0000 0.4189
Pd 0.5000 0.3333 0.6667
Pd 0.5000 0.6667 0.3333
Pd 0.5000 0.3774 0.3774
Pd 0.5000 0.0000 0.6226
Pd 0.5000 0.6226 0.0000
Au 0.5000 0.7976 0.7976
Au 0.5000 0.0000 0.2024
Au 0.5000 0.2024 0.0000



Entry from the Alexandria database: NbP2PtCl after structural relaxation (GGA-PBE).

Summary:
calculated density = 5.5 Mg/m³
uncorrected energy = -25.1 eV per formula unit
crystal system = tetragonal
space group = P4/mmm (123)

abc: 4.4823 5.7866 4.4823
angles: 90.00 90.00 90.00
Last column: magnetic moment on the atom in μB.
Positions (direct):
P 0.0000 0.0000 0.5000  -0.03
P 0.5000 0.0000 0.0000  -0.02
Nb 0.0000 0.5000 0.0000  2.43
Pt 0.0000 0.0000 0.0000  0.10
Cl 0.5000 0.5000 0.5000  -0.02



Entry from the Alexandria database: SrIn2Cl after structural relaxation (GGA-PBE).

Summary:
calculated density = 4.6 Mg/m³
uncorrected energy = -10.3 eV per formula unit
crystal system = orthorhombic
space group = Cmmm (65)

abc: 3.7438 3.7438 9.8655
angles: 90.00 90.00 113.69
Positions (direct):
Cl 0.5000 0.5000 0.7500
In 0.0000 0.0000 0.9713
In 0.0000 0.0000 0.5287
Sr 0.5000 0.5000 0.2500



Entry from the Alexandria database: TePbAuN2 after structural relaxation (GGA-PBE).

Summary:
calculated density = 7.4 Mg/m³
uncorrected energy = -18.6 eV per formula unit
crystal system = tetragonal
space group = P4/mmm (123)

abc: 4.3643 4.3643 6.5615
angles: 90.00 90.00 90.00
Last column: magnetic moment on the atom in μB.
Positions (direct):
Pb 0.0000 0.0000 0.0000  -0.06
Te 0.0000 0.0000 0.5000  0.11
Au 0.5000 0.5000 0.5000  0.02
N 0.0000 0.5000 0.0000  0.97
N 0.5000 0.0000 0.0000  0.97



Entry from the Alexandria database: Pm4Pr9Zn11 after structural relaxation (GGA-PBE).

Summary:
calculated density = 6.8 Mg/m³
uncorrected energy = -81.5 eV per formula unit
crystal system = orthorhombic
energy of formation from the pure elements = -228 meV/atom
space group = Cmmm (65)

abc: 3.6014 13.5659 13.5659
angles: 110.02 90.00 90.00
Positions (direct):
Pm 0.5000 0.5678 0.7500
Pm 0.5000 0.4322 0.2500
Pm 0.5000 0.7500 0.5678
Pm 0.5000 0.2500 0.4322
Pr 0.5000 0.6234 0.1436
Pr 0.5000 0.3766 0.8564
Pr 0.5000 0.1436 0.6234
Pr 0.5000 0.8564 0.3766
Pr 0.5000 0.7941 0.9694
Pr 0.5000 0.2059 0.0306
Pr 0.5000 0.9694 0.7941
Pr 0.5000 0.0306 0.2059
Pr 0.5000 0.5000 0.5000
Zn 0.0000 0.5848 0.9436
Zn 0.0000 0.4152 0.0564
Zn 0.0000 0.9436 0.5848
Zn 0.0000 0.0564 0.4152
Zn 0.0000 0.6348 0.3652
Zn 0.0000 0.3652 0.6348
Zn 0.0000 0.8289 0.1711
Zn 0.0000 0.1711 0.8289
Zn 0.0000 0.0000 0.0000
Zn 0.0000 0.7616 0.7616
Zn 0.0000 0.2384 0.2384